Computed, not measured: a crystal of Mn2AlRh relaxed with PBEsol at the SCAN level of DFT.

```
Mn2AlRh
1.0
2.825 0.000 0.000
0.000 4.063 0.000
-1.412 -2.031 4.246
Al Rh Mn
1 1 2
direct
0.000 0.500 0.000 Al
0.500 0.000 0.000 Rh
0.750 0.750 0.501 Mn
0.250 0.250 0.499 Mn
```

Output
* space-group type: Immm (71)
* energy relative to the elements: -0.37 eV/atom